# GGA-PBE ErSiNi2Ge, optimized geometry
data_ErSiNi2Ge
_chemical_formula_sum 'Er2 Si2 Ni4 Ge2'
_cell_length_a 4.000
_cell_length_b 4.000
_cell_length_c 9.647
_cell_angle_alpha 90.00
_cell_angle_beta 90.00
_cell_angle_gamma 90.00
_symmetry_space_group_name_H-M 'I 4 m m'
_symmetry_Int_Tables_number 107
_symmetry_space_group_name_Hall 'I 4 -2'
loop_
_atom_site_label
_atom_site_fract_x
_atom_site_fract_y
_atom_site_fract_z
Er1 0.000 0.000 0.000
Si1 0.000 0.000 0.371
Ni1 0.000 0.500 0.256
Ge1 0.000 0.000 0.625
# VASP energy (eV/atom): -5.92
# ρ (g/cm³): 8.29

---

# GGA-PBE In4NiPd, optimized geometry
data_In4NiPd
_chemical_formula_sum 'In16 Ni4 Pd4'
_cell_length_a 4.094
_cell_length_b 18.267
_cell_length_c 7.087
_cell_angle_alpha 90.00
_cell_angle_beta 90.00
_cell_angle_gamma 90.00
_symmetry_space_group_name_H-M 'C m c m'
_symmetry_Int_Tables_number 63
_symmetry_space_group_name_Hall '-C 2c 2'
loop_
_atom_site_label
_atom_site_fract_x
_atom_site_fract_y
_atom_site_fract_z
In1 0.000 0.000 0.000
In2 0.000 0.176 0.013
In3 0.000 0.428 0.750
Ni1 0.000 0.287 0.750
Pd1 0.000 0.307 0.250
# VASP energy (eV/atom): -3.69
# E above lowest polymorph (eV/atom): 0.000
# ρ (g/cm³): 7.83